1.
! GGA-PBE LiPuMgF6, optimized geometry; values from VASP
&SYSTEM
  ibrav = 0, nat = 18, ntyp = 4
/
ATOMIC_SPECIES
Li 6.94 Li.upf
Pu 244.00 Pu.upf
Mg 24.30 Mg.upf
F 19.00 F.upf
CELL_PARAMETERS angstrom
5.672 0.000 0.000
-2.836 4.912 0.000
0.000 0.000 8.688
ATOMIC_POSITIONS angstrom
Li 0.000 0.000 0.000
Li 0.000 0.000 4.344
Pu 2.836 1.637 2.172
Pu 0.000 3.275 6.516
Mg 0.000 3.275 2.172
Mg 2.836 1.637 6.516
F 1.711 3.350 1.104
F -0.790 1.755 1.104
F 1.915 0.193 5.448
F 3.626 3.156 7.584
F 0.790 1.755 3.240
F -1.711 3.350 3.240
F 3.756 0.193 7.584
F 0.920 4.719 3.240
F 4.547 1.562 5.448
F -0.920 4.719 1.104
F 2.045 3.156 5.448
F 1.125 1.562 7.584
! Formation energy (no corrections) ... -3.3207 eV per atom
! Spin magnetization ... 5.00 μB per formula unit
! Density ... 5341 kg/m³
! Crystal system ... trigonal
! Symmetry ... P-31c


2.
! GGA-PBE RbLi2Mg2F7, optimized geometry; values from VASP
&SYSTEM
  ibrav = 0, nat = 12, ntyp = 4
/
ATOMIC_SPECIES
Rb 85.47 Rb.upf
Li 6.94 Li.upf
Mg 24.30 Mg.upf
F 19.00 F.upf
CELL_PARAMETERS angstrom
-1.150 -3.309 2.064
1.858 -2.356 -2.743
6.848 3.184 4.915
ATOMIC_POSITIONS angstrom
Rb 7.556 -2.482 4.236
Li 4.530 -1.004 0.915
Li 3.025 -1.478 3.320
Mg 5.489 0.268 3.488
Mg 2.067 -2.750 0.747
F 6.342 -0.914 2.068
F 3.747 -2.668 1.816
F 2.718 -1.092 -0.236
F 1.214 -1.568 2.167
F 3.809 0.186 2.420
F 4.838 -1.390 4.472
F 0.354 -2.833 -0.340
! Formation energy (no corrections) ... -3.2170 eV per atom
! Spin magnetization ... 0.00 μB per formula unit
! Density ... 3305 kg/m³
! Crystal system ... tetragonal
! Symmetry ... I4/mmm